Record 1
VASP calculation (PBE) on an optimized crystal structure of KLiNpO4.

The total magnetization comes out at 1.0 μB per formula unit. The uncorrected formation energy is -2328 meV/atom.

Cell and atoms, written as CIF:
```
data_KLiNpO4
_chemical_formula_sum 'K2 Li2 Np2 O8'
_cell_length_a 5.5901
_cell_length_b 5.6714
_cell_length_c 6.9718
_cell_angle_alpha 90.00
_cell_angle_beta 102.17
_cell_angle_gamma 90.00
_symmetry_space_group_name_H-M 'P 1 21/m 1'
_symmetry_Int_Tables_number 11
_symmetry_space_group_name_Hall '-P 2yb'
loop_
_atom_site_label
_atom_site_type_symbol
_atom_site_fract_x
_atom_site_fract_y
_atom_site_fract_z
K1 K 0.1691 0.2500 0.0837
Li1 Li 0.3773 0.2500 0.6865
Np1 Np 0.1773 0.7500 0.4601
O1 O 0.1197 0.0079 0.6760
O2 O 0.2779 0.7500 0.2036
O3 O 0.4685 0.2500 0.4310
```

---

Record 2
VASP calculation (PBE) on an optimized crystal structure of NbH2Pd.

The calculation puts the distance to the lowest polymorph of the same formula at 376 meV per atom. The total magnetization comes out at 0.0 μB per formula unit.

Cell and atoms, written as CIF:
```
data_NbH2Pd
_chemical_formula_sum 'Nb4 H8 Pd4'
_cell_length_a 5.4213
_cell_length_b 5.4213
_cell_length_c 5.4213
_cell_angle_alpha 90.00
_cell_angle_beta 90.00
_cell_angle_gamma 90.00
_symmetry_space_group_name_H-M 'F m -3 m'
_symmetry_Int_Tables_number 225
_symmetry_space_group_name_Hall '-F 4 2 3'
loop_
_atom_site_label
_atom_site_type_symbol
_atom_site_fract_x
_atom_site_fract_y
_atom_site_fract_z
Nb1 Nb 0.0000 0.0000 0.0000
H1 H 0.2500 0.2500 0.2500
Pd1 Pd 0.0000 0.0000 0.5000
```

---

Record 3
VASP calculation (PBE) on an optimized crystal structure of ZnAg2IO4.

The total magnetization comes out at 0.0 μB per formula unit. The uncorrected formation energy is -370 meV/atom.

Cell and atoms, written as CIF:
```
data_ZnAg2IO4
_chemical_formula_sum 'Zn2 Ag4 I2 O8'
_cell_length_a 6.9929
_cell_length_b 6.4060
_cell_length_c 6.6005
_cell_angle_alpha 90.00
_cell_angle_beta 121.32
_cell_angle_gamma 90.00
_symmetry_space_group_name_H-M 'C 1 2 1'
_symmetry_Int_Tables_number 5
_symmetry_space_group_name_Hall 'C 2y'
loop_
_atom_site_label
_atom_site_type_symbol
_atom_site_fract_x
_atom_site_fract_y
_atom_site_fract_z
Zn1 Zn 0.0000 0.0000 0.0000
Ag1 Ag 0.0000 0.4993 0.0000
Ag2 Ag 0.0000 0.7448 0.5000
I1 I 0.0000 0.2487 0.5000
O1 O 0.0958 0.2331 0.2424
O2 O 0.1552 0.7657 0.2369
```

---

Record 4
VASP calculation (PBE) on an optimized crystal structure of LaNiSb2S.

The total magnetization comes out at 0.0 μB per formula unit. The uncorrected formation energy is -264 meV/atom.

Cell and atoms, written as CIF:
```
data_LaNiSb2S
_chemical_formula_sum 'La1 Ni1 Sb2 S1'
_cell_length_a 5.5256
_cell_length_b 5.5256
_cell_length_c 4.1406
_cell_angle_alpha 90.00
_cell_angle_beta 90.00
_cell_angle_gamma 90.00
_symmetry_space_group_name_H-M 'P 4/m m m'
_symmetry_Int_Tables_number 123
_symmetry_space_group_name_Hall '-P 4 2'
loop_
_atom_site_label
_atom_site_type_symbol
_atom_site_fract_x
_atom_site_fract_y
_atom_site_fract_z
La1 La 0.0000 0.0000 0.0000
Ni1 Ni 0.5000 0.5000 0.0000
Sb1 Sb 0.0000 0.5000 0.5000
S1 S 0.5000 0.5000 0.5000
```

---

Record 5
VASP calculation (PBE) on an optimized crystal structure of DySbSO2.

The total magnetization comes out at 0.0 μB per formula unit. The uncorrected formation energy is -2024 meV/atom.

Cell and atoms, written as CIF:
```
data_DySbSO2
_chemical_formula_sum 'Dy2 Sb2 S2 O4'
_cell_length_a 6.3610
_cell_length_b 3.8983
_cell_length_c 7.5508
_cell_angle_alpha 90.00
_cell_angle_beta 106.24
_cell_angle_gamma 90.00
_symmetry_space_group_name_H-M 'P 1 21/m 1'
_symmetry_Int_Tables_number 11
_symmetry_space_group_name_Hall '-P 2yb'
loop_
_atom_site_label
_atom_site_type_symbol
_atom_site_fract_x
_atom_site_fract_y
_atom_site_fract_z
Dy1 Dy 0.2022 0.2500 0.4170
Sb1 Sb 0.1900 0.2500 0.9218
S1 S 0.4414 0.7500 0.2801
O1 O 0.0163 0.2500 0.6385
O2 O 0.0220 0.7500 0.8919
```

---

Record 6
VASP calculation (PBE) on an optimized crystal structure of TaNi2MoH.

The calculation puts the distance to the lowest polymorph of the same formula at 45 meV per atom. The total magnetization comes out at 0.0 μB per formula unit.

Cell and atoms, written as CIF:
```
data_TaNi2MoH
_chemical_formula_sum 'Ta1 Ni2 Mo1 H1'
_cell_length_a 3.7498
_cell_length_b 3.7498
_cell_length_c 4.0865
_cell_angle_alpha 90.00
_cell_angle_beta 90.00
_cell_angle_gamma 90.00
_symmetry_space_group_name_H-M 'P 4/m m m'
_symmetry_Int_Tables_number 123
_symmetry_space_group_name_Hall '-P 4 2'
loop_
_atom_site_label
_atom_site_type_symbol
_atom_site_fract_x
_atom_site_fract_y
_atom_site_fract_z
Ta1 Ta 0.0000 0.0000 0.0000
Ni1 Ni 0.0000 0.5000 0.5000
Mo1 Mo 0.5000 0.5000 0.0000
H1 H 0.0000 0.0000 0.5000
```

---

Record 7
VASP calculation (PBE) on an optimized crystal structure of YbH9C5N2O8.

The total magnetization comes out at 1.1 μB per formula unit. The calculation puts the total energy at -6.293 eV per atom.

Cell and atoms, written as CIF:
```
data_YbH9C5N2O8
_chemical_formula_sum 'Yb2 H18 C10 N4 O16'
_cell_length_a 11.4862
_cell_length_b 7.3151
_cell_length_c 6.6542
_cell_angle_alpha 90.00
_cell_angle_beta 110.36
_cell_angle_gamma 90.00
_symmetry_space_group_name_H-M 'C 1 2 1'
_symmetry_Int_Tables_number 5
_symmetry_space_group_name_Hall 'C 2y'
loop_
_atom_site_label
_atom_site_type_symbol
_atom_site_fract_x
_atom_site_fract_y
_atom_site_fract_z
Yb1 Yb 0.0000 0.0000 0.0000
H1 H 0.0000 0.9227 0.5000
H2 H 0.0095 0.5498 0.1719
H3 H 0.1200 0.3871 0.4597
H4 H 0.1886 0.3265 0.8712
H5 H 0.2157 0.5742 0.5931
C1 C 0.0000 0.0737 0.5000
C2 C 0.0867 0.6219 0.2936
C3 C 0.2401 0.2808 0.0377
N1 N 0.1472 0.5204 0.4617
O1 O 0.0071 0.1538 0.3349
O2 O 0.1111 0.7857 0.2674
O3 O 0.1494 0.8331 0.8734
O4 O 0.1815 0.1777 0.1246
```

---

Record 8
VASP calculation (PBE) on an optimized crystal structure of Mn2CrHOs.

The calculation puts the distance to the lowest polymorph of the same formula at 55 meV per atom. The total magnetization comes out at 2.1 μB per formula unit.

Cell and atoms, written as CIF:
```
data_Mn2CrHOs
_chemical_formula_sum 'Mn2 Cr1 H1 Os1'
_cell_length_a 3.7136
_cell_length_b 3.7136
_cell_length_c 3.7920
_cell_angle_alpha 90.00
_cell_angle_beta 90.00
_cell_angle_gamma 90.00
_symmetry_space_group_name_H-M 'P 4/m m m'
_symmetry_Int_Tables_number 123
_symmetry_space_group_name_Hall '-P 4 2'
loop_
_atom_site_label
_atom_site_type_symbol
_atom_site_fract_x
_atom_site_fract_y
_atom_site_fract_z
Mn1 Mn 0.0000 0.5000 0.0000
Cr1 Cr 0.0000 0.0000 0.5000
H1 H 0.5000 0.5000 0.0000
Os1 Os 0.5000 0.5000 0.5000
```

---

Record 9
VASP calculation (PBE) on an optimized crystal structure of LaInAg2.

The total magnetization comes out at 0.0 μB per formula unit. For the formation energy, the calculation gives -0.0112 eV/atom.

Cell and atoms, written as CIF:
```
data_LaInAg2
_chemical_formula_sum 'La4 In4 Ag8'
_cell_length_a 4.8644
_cell_length_b 4.8644
_cell_length_c 19.2047
_cell_angle_alpha 90.00
_cell_angle_beta 90.00
_cell_angle_gamma 90.00
_symmetry_space_group_name_H-M 'I -4 2 d'
_symmetry_Int_Tables_number 122
_symmetry_space_group_name_Hall 'I -4 2bw'
loop_
_atom_site_label
_atom_site_type_symbol
_atom_site_fract_x
_atom_site_fract_y
_atom_site_fract_z
La1 La 0.0000 0.0000 0.0000
In1 In 0.0000 0.0000 0.5000
Ag1 Ag 0.1464 0.2500 0.6250
```

---

Record 10
VASP calculation (PBE) on an optimized crystal structure of Hf3CoBi.

The calculation puts the distance to the lowest polymorph of the same formula at 0 meV per atom. The total magnetization comes out at 0.0 μB per formula unit. For the formation energy, the calculation gives -0.2527 eV/atom.

Cell and atoms, written as CIF:
```
data_Hf3CoBi
_chemical_formula_sum 'Hf6 Co2 Bi2'
_cell_length_a 7.6759
_cell_length_b 3.9353
_cell_length_c 7.7184
_cell_angle_alpha 90.00
_cell_angle_beta 115.18
_cell_angle_gamma 90.00
_symmetry_space_group_name_H-M 'P 1 21/m 1'
_symmetry_Int_Tables_number 11
_symmetry_space_group_name_Hall '-P 2yb'
loop_
_atom_site_label
_atom_site_type_symbol
_atom_site_fract_x
_atom_site_fract_y
_atom_site_fract_z
Hf1 Hf 0.0215 0.2500 0.2132
Hf2 Hf 0.3024 0.7500 0.5918
Hf3 Hf 0.3264 0.2500 0.9161
Co1 Co 0.0732 0.2500 0.5879
Bi1 Bi 0.3328 0.7500 0.2121
```

---

Record 11
VASP calculation (PBE) on an optimized crystal structure of Dy3AgO.

The total magnetization comes out at 0.0 μB per formula unit. The uncorrected formation energy is -1227 meV/atom.

Cell and atoms, written as CIF:
```
data_Dy3AgO
_chemical_formula_sum 'Dy3 Ag1 O1'
_cell_length_a 4.7529
_cell_length_b 4.7529
_cell_length_c 4.7529
_cell_angle_alpha 90.00
_cell_angle_beta 90.00
_cell_angle_gamma 90.00
_symmetry_space_group_name_H-M 'P m -3 m'
_symmetry_Int_Tables_number 221
_symmetry_space_group_name_Hall '-P 4 2 3'
loop_
_atom_site_label
_atom_site_type_symbol
_atom_site_fract_x
_atom_site_fract_y
_atom_site_fract_z
Dy1 Dy 0.0000 0.0000 0.5000
Ag1 Ag 0.5000 0.5000 0.5000
O1 O 0.0000 0.0000 0.0000
```

---

Record 12
VASP calculation (PBE) on an optimized crystal structure of LaMg2TcCl.

The total magnetization comes out at 0.8 μB per formula unit. The uncorrected formation energy is 988 meV/atom.

Cell and atoms, written as CIF:
```
data_LaMg2TcCl
_chemical_formula_sum 'La1 Mg2 Tc1 Cl1'
_cell_length_a 6.4327
_cell_length_b 6.4327
_cell_length_c 4.7291
_cell_angle_alpha 90.00
_cell_angle_beta 90.00
_cell_angle_gamma 90.00
_symmetry_space_group_name_H-M 'P 4/m m m'
_symmetry_Int_Tables_number 123
_symmetry_space_group_name_Hall '-P 4 2'
loop_
_atom_site_label
_atom_site_type_symbol
_atom_site_fract_x
_atom_site_fract_y
_atom_site_fract_z
La1 La 0.0000 0.0000 0.0000
Mg1 Mg 0.0000 0.5000 0.0000
Tc1 Tc 0.0000 0.0000 0.5000
Cl1 Cl 0.5000 0.5000 0.5000
```